The following is a DFT calculation (GGA-PBE) of BaNaPrI6 after structural relaxation.

Summary:
The calculation puts the total energy at -3.41 eV per atom. As for the crystal system: trigonal. The value obtained for the uncorrected formation energy is -1.481 eV per atom.

a = 8.194 Å, b = 8.194 Å, c = 14.987 Å
α = 90.00°, β = 90.00°, γ = 120.00°
Atoms (fractional coordinates):
Ba: 0.000 0.000 0.000
Ba: 0.000 0.000 0.500
Na: 0.333 0.667 0.250
Na: 0.667 0.333 0.750
Pr: 0.333 0.667 0.750
Pr: 0.667 0.333 0.250
I: 0.008 0.360 0.629
I: 0.008 0.648 0.871
I: 0.352 0.360 0.871
I: 0.352 0.992 0.629
I: 0.360 0.008 0.129
I: 0.360 0.352 0.371
I: 0.640 0.648 0.629
I: 0.640 0.992 0.871
I: 0.648 0.008 0.371
I: 0.648 0.640 0.129
I: 0.992 0.352 0.129
I: 0.992 0.640 0.371

The following is a DFT calculation (GGA-PBE) of Mn3GeI9 after structural relaxation.

Summary:
The calculation puts the total energy at -3.85 eV per atom. As for the crystal system: monoclinic. The value obtained for the uncorrected formation energy is -0.304 eV per atom.

a = 11.222 Å, b = 11.222 Å, c = 14.379 Å
α = 123.97°, β = 123.97°, γ = 54.89°
Atoms (fractional coordinates):
Mn: 0.062 0.938 0.500
Mn: 0.286 0.451 0.544
Mn: 0.451 0.286 0.044
Mn: 0.479 0.713 0.392
Mn: 0.713 0.479 0.892
Mn: 0.938 0.062 0.000
Ge: 0.520 0.939 0.213
Ge: 0.939 0.520 0.713
I: 0.049 0.425 0.518
I: 0.209 0.951 0.158
I: 0.220 0.758 0.636
I: 0.277 0.975 0.496
I: 0.304 0.555 0.193
I: 0.308 0.352 0.850
I: 0.352 0.308 0.350
I: 0.425 0.049 0.018
I: 0.535 0.641 0.024
I: 0.555 0.304 0.693
I: 0.641 0.535 0.524
I: 0.652 0.807 0.397
I: 0.758 0.220 0.136
I: 0.807 0.652 0.897
I: 0.857 0.873 0.280
I: 0.873 0.857 0.780
I: 0.951 0.209 0.658
I: 0.975 0.277 0.996

The following is a DFT calculation (GGA-PBE) of Pr2HoTa after structural relaxation.

Summary:
The calculation puts the total energy at -5.82 eV per atom. As for the formation energy: 0.675 eV per atom. As for the crystal system: trigonal.

a = 12.187 Å, b = 12.187 Å, c = 12.187 Å
α = 15.70°, β = 15.70°, γ = 15.70°
Atoms (fractional coordinates):
Pr: 0.082 0.082 0.082
Pr: 0.918 0.918 0.918
Ho: 0.500 0.500 0.500
Ta: 0.000 0.000 0.000

The following is a DFT calculation (GGA-PBE) of Ag4GeBi3Te8 after structural relaxation.

Summary:
The calculation puts the total energy at -3.41 eV per atom. As for the crystal system: trigonal. The value obtained for the uncorrected formation energy is -0.111 eV per atom.

a = 8.616 Å, b = 8.616 Å, c = 8.616 Å
α = 61.03°, β = 61.03°, γ = 61.03°
Atoms (fractional coordinates):
Ag: 0.000 0.000 0.000
Ag: 0.000 0.500 0.500
Ag: 0.500 0.000 0.500
Ag: 0.500 0.500 0.000
Ge: 0.500 0.500 0.500
Bi: 0.000 0.000 0.500
Bi: 0.000 0.500 0.000
Bi: 0.500 0.000 0.000
Te: 0.251 0.251 0.736
Te: 0.251 0.736 0.251
Te: 0.256 0.256 0.256
Te: 0.264 0.749 0.749
Te: 0.736 0.251 0.251
Te: 0.744 0.744 0.744
Te: 0.749 0.264 0.749
Te: 0.749 0.749 0.264

The following is a DFT calculation (GGA-PBE) of CaVIN2 after structural relaxation.

Summary:
The calculation puts the total energy at -5.86 eV per atom. As for the crystal system: tetragonal. The value obtained for the uncorrected formation energy is 0.009 eV per atom. The value obtained for the energy above the most stable polymorph in this dataset is 0 meV per atom.

a = 4.016 Å, b = 4.016 Å, c = 5.367 Å
α = 90.00°, β = 90.00°, γ = 90.00°
Atoms (fractional coordinates):
Ca: 0.000 0.000 0.000
V: 0.500 0.500 0.500
I: 0.500 0.500 0.000
N: 0.000 0.500 0.500
N: 0.500 0.000 0.500

The following is a DFT calculation (GGA-PBE) of LaCd2SnAu4 after structural relaxation.

Summary:
The calculation puts the total energy at -3.38 eV per atom. As for the formation energy: -0.392 eV per atom. As for the crystal system: trigonal.

a = 9.707 Å, b = 9.707 Å, c = 9.707 Å
α = 28.32°, β = 28.32°, γ = 28.32°
Atoms (fractional coordinates):
La: 0.000 0.000 0.000
Cd: 0.248 0.248 0.248
Cd: 0.752 0.752 0.752
Sn: 0.500 0.500 0.500
Au: 0.123 0.123 0.123
Au: 0.390 0.390 0.390
Au: 0.610 0.610 0.610
Au: 0.877 0.877 0.877

The following is a DFT calculation (GGA-PBE) of Nd4PtSCl2 after structural relaxation.

Summary:
The calculation puts the total energy at -5.63 eV per atom. As for the crystal system: monoclinic. The value obtained for the uncorrected formation energy is -1.509 eV per atom.

a = 7.317 Å, b = 4.068 Å, c = 7.371 Å
α = 90.00°, β = 108.54°, γ = 90.00°
Atoms (fractional coordinates):
Nd: 0.233 0.000 0.223
Nd: 0.266 0.500 0.777
Nd: 0.734 0.500 0.223
Nd: 0.767 0.000 0.777
Pt: 0.500 0.000 0.000
S: 0.000 0.500 0.000
Cl: 0.000 0.000 0.500
Cl: 0.500 0.500 0.500

The following is a DFT calculation (GGA-PBE) of Ac8As4AuSe3 after structural relaxation.

Summary:
The calculation puts the total energy at -5.64 eV per atom. As for the crystal system: trigonal. The value obtained for the uncorrected formation energy is -1.565 eV per atom.

a = 9.039 Å, b = 9.039 Å, c = 9.039 Å
α = 60.14°, β = 60.14°, γ = 60.14°
Atoms (fractional coordinates):
Ac: 0.247 0.247 0.247
Ac: 0.248 0.747 0.747
Ac: 0.253 0.253 0.752
Ac: 0.253 0.752 0.253
Ac: 0.747 0.248 0.747
Ac: 0.747 0.747 0.248
Ac: 0.752 0.253 0.253
Ac: 0.753 0.753 0.753
As: 0.000 0.000 0.500
As: 0.000 0.500 0.000
As: 0.500 0.000 0.000
As: 0.500 0.500 0.500
Au: 0.000 0.000 0.000
Se: 0.000 0.500 0.500
Se: 0.500 0.000 0.500
Se: 0.500 0.500 0.000